The following is a PBE-GGA calculation of a geometry-optimized TbU2SiC4 structure, from Alexandria via LeMat-Bulk.

```
TbU2SiC4
1.0
-0.712 0.481 3.417
5.815 -1.089 -0.451
2.033 11.339 -1.172
Tb U Si C
2 4 2 8
Direct
0.106 0.211 0.750
0.894 0.789 0.250
0.372 0.744 0.551
0.628 0.256 0.051
0.628 0.256 0.449
0.372 0.744 0.949
0.838 0.677 0.750
0.162 0.323 0.250
0.263 0.526 0.123
0.737 0.474 0.623
0.737 0.474 0.877
0.263 0.526 0.377
0.000 0.000 0.500
0.000 0.000 0.000
0.427 0.855 0.750
0.573 0.145 0.250
```

Summary:
Uncorrected formation energy = -0.139 eV per atom
Total energy = -8.829 eV/atom
Calculated volume = 14.45 A^3/atom
Space group = Cmcm, No. 63

The following is a PBE-GGA calculation of a geometry-optimized Nd2MgP structure, from Alexandria via LeMat-Bulk.

```
Nd2MgP
1.0
-2.014 -3.424 0.610
-0.007 -1.703 3.640
-7.714 2.799 3.518
Nd Mg P
2 1 1
Direct
0.064 0.064 0.809
0.269 0.269 0.191
0.500 0.500 0.500
0.667 0.667 0.000
```

Summary:
DFT formation energy = -0.686 eV per atom
Total energy = -4.821 eV/atom
Relative energy among the computed polymorphs = 0 meV per atom
Calculated volume = 30.16 A^3/atom
Space group = R3m, No. 160

The following is a PBE-GGA calculation of a geometry-optimized AlHS2 structure, from Alexandria via LeMat-Bulk.

```
AlHS2
1.0
-1.243 -2.003 5.713
2.047 -3.126 4.922
1.518 0.235 5.986
H S Al
1 2 1
Direct
0.000 0.000 0.000
0.906 0.906 0.906
0.094 0.094 0.094
0.500 0.500 0.500
```

Summary:
Total energy = -4.510 eV/atom
Relative energy among the computed polymorphs = 28 meV per atom
Calculated volume = 16.03 A^3/atom
Space group = R-3m, No. 166

The following is a PBE-GGA calculation of a geometry-optimized Cr3Ir structure, from Alexandria via LeMat-Bulk.

```
Cr3Ir
1.0
-0.851 -0.150 -2.476
1.979 -1.523 0.802
-4.635 -6.501 3.375
Cr Ir
3 1
Direct
0.999 0.001 0.996
0.250 0.750 0.750
0.501 0.499 0.504
0.750 0.250 0.250
```

Summary:
DFT formation energy = 0.184 eV per atom
Total energy = -9.249 eV/atom
Calculated volume = 12.71 A^3/atom
Space group = R-3m, No. 166

The following is a PBE-GGA calculation of a geometry-optimized AcLa3N4 structure, from Alexandria via LeMat-Bulk.

```
AcLa3N4
1.0
3.795 0.000 0.000
0.000 6.216 -2.128
0.000 -0.060 6.570
Ac N La
1 4 3
Direct
0.500 0.000 0.000
0.000 0.256 0.256
0.500 0.747 0.253
0.000 0.744 0.744
0.500 0.253 0.747
0.000 0.000 0.500
0.500 0.500 0.500
0.000 0.500 0.000
```

Summary:
Uncorrected formation energy = -1.241 eV per atom
Total energy = -7.765 eV/atom
Relative energy among the computed polymorphs = 0 meV per atom
Calculated volume = 19.31 A^3/atom
Space group = Cmmm, No. 65

The following is a PBE-GGA calculation of a geometry-optimized Pm2HoCu structure, from Alexandria via LeMat-Bulk.

```
Pm2HoCu
1.0
4.956 -0.001 0.000
-2.479 5.826 0.000
0.000 0.000 7.727
Pm Ho Cu
4 2 2
Direct
0.355 0.710 0.530
0.645 0.290 0.470
0.355 0.710 0.970
0.645 0.290 0.030
0.956 0.912 0.250
0.044 0.088 0.750
0.799 0.599 0.750
0.201 0.401 0.250
```

Summary:
DFT formation energy = -0.036 eV per atom
Total energy = -4.580 eV/atom
Relative energy among the computed polymorphs = 39 meV per atom
Calculated volume = 27.89 A^3/atom
Space group = P2_1/m, No. 11